[1]
# ZnTeMo2 (PBE, relaxed)
# Uncorrected energy in eV per atom: -6.1220
# Total moment in μB/cell: 0.00
# Distance to the lowest polymorph of the same formula in kJ/mol of formula units: 75
# Density in Mg/m³: 8.92
# N(E_F) in states/eV/cell: 6.03
# Energy relative to the elements, uncorrected in eV/atom: 0.3974
data_ZnTeMo2
_space_group_name_H-M_alt 'C 1 2/m 1'
_space_group_IT_number 12
_cell_length_a 9.0919
_cell_length_b 3.3263
_cell_length_c 4.7942
_cell_angle_alpha 90.00
_cell_angle_beta 98.83
_cell_angle_gamma 90.00
loop_
_space_group_symop_operation_xyz
'x,y,z'
'-x,-y,-z'
'-x,y,-z'
'x,-y,z'
'x+1/2,y+1/2,z'
'-x+1/2,-y+1/2,-z'
'-x+1/2,y+1/2,-z'
'x+1/2,-y+1/2,z'
loop_
_atom_site_label
_atom_site_fract_x
_atom_site_fract_y
_atom_site_fract_z
Zn1 0.0000 0.0000 0.0000
Te1 0.0000 0.5000 0.5000
Mo1 0.2469 0.5000 0.2061


[2]
# V2CdMoBr (PBE, relaxed)
# Uncorrected energy in eV per atom: -4.0860
# Total moment in μB/cell: 0.00
# Density in Mg/m³: 5.45
# N(E_F) in states/eV/cell: 10.46
# Energy relative to the elements, uncorrected in eV/atom: 2.2452
data_V2CdMoBr
_space_group_name_H-M_alt 'P 4/m m m'
_space_group_IT_number 123
_space_group_name_Hall '-P 4 2'
_cell_length_a 4.8594
_cell_length_b 4.8594
_cell_length_c 5.0355
_cell_angle_alpha 90.00
_cell_angle_beta 90.00
_cell_angle_gamma 90.00
loop_
_atom_site_label
_atom_site_fract_x
_atom_site_fract_y
_atom_site_fract_z
V1 0.0000 0.5000 0.0000
Cd1 0.0000 0.0000 0.0000
Mo1 0.0000 0.0000 0.5000
Br1 0.5000 0.5000 0.5000


[3]
# LiHfH2 (PBE, relaxed)
# Uncorrected energy in eV per atom: -4.8176
# Total moment in μB/cell: 1.60
# Distance to the lowest polymorph of the same formula in kJ/mol of formula units: 0
# Density in Mg/m³: 6.74
# N(E_F) in states/eV/cell: 5.17
data_LiHfH2
_space_group_name_H-M_alt 'R 3 m'
_space_group_IT_number 160
_space_group_name_Hall 'R 3 -2"'
_cell_length_a 3.1004
_cell_length_b 3.1004
_cell_length_c 16.6382
_cell_angle_alpha 90.00
_cell_angle_beta 90.00
_cell_angle_gamma 120.00
loop_
_atom_site_label
_atom_site_fract_x
_atom_site_fract_y
_atom_site_fract_z
Li1 0.0000 0.0000 0.0000
Hf1 0.0000 0.0000 0.8207
H1 0.0000 0.0000 0.2162
H2 0.0000 0.0000 0.4237


[4]
# AlTcSbTe2 (PBE, relaxed)
# Uncorrected energy in eV per atom: -3.8561
# Total moment in μB/cell: 3.66
# Distance to the lowest polymorph of the same formula in kJ/mol of formula units: 224
# Density in Mg/m³: 5.69
# N(E_F) in states/eV/cell: 3.86
# Energy relative to the elements, uncorrected in eV/atom: 1.0468
data_AlTcSbTe2
_space_group_name_H-M_alt 'P 4/m m m'
_space_group_IT_number 123
_space_group_name_Hall '-P 4 2'
_cell_length_a 5.3169
_cell_length_b 5.3169
_cell_length_c 5.1826
_cell_angle_alpha 90.00
_cell_angle_beta 90.00
_cell_angle_gamma 90.00
loop_
_atom_site_label
_atom_site_fract_x
_atom_site_fract_y
_atom_site_fract_z
Al1 0.0000 0.0000 0.0000
Tc1 0.5000 0.5000 0.5000
Sb1 0.0000 0.0000 0.5000
Te1 0.0000 0.5000 0.0000